Material: CrCoF2
Method: DFT, PBE+U
State: relaxed

Lattice parameters (Å, degrees): 6.059 6.059 6.059 128.71 128.71 75.48
Atoms (fractional coordinates):
Cr1 0.000 0.000 0.000
Cr2 0.750 0.250 0.500
Co1 0.250 0.750 0.500
Co2 0.500 0.500 0.000
F1 0.171 0.625 0.046
F2 0.375 0.421 0.546
F3 0.579 0.125 0.954
F4 0.875 0.829 0.454

## Properties
- energy relative to the lowest polymorph listed for this composition (eV per atom) = 0.222
- theoretical density (g/cm³) = 3.75
- space-group type = No. 122
- crystal system = tetragonal
- VASP energy (Ha/atom) = -0.1861
- total magnetization (μB per formula unit) = 7.72